# 1
YAgPt after structural relaxation, computed with PBE.

Results
- space group = I4mm (107)
- VASP energy (eV per atom) = -5.836
- energy relative to the elements (eV per atom) = -0.717
- total magnetization (μB per formula unit) = 0.0

a = 3.6863 Å, b = 3.6863 Å, c = 5.2419 Å
α = 110.59°, β = 110.59°, γ = 90.00°
Fractional positions:
Pt (0.9436, 0.9436, 0.8872)
Y (0.2928, 0.2928, 0.5856)
Ag (0.6136, 0.6136, 0.2273)

***

# 2
PrTc7N12 after structural relaxation, computed with PBE.

Results
- space group = Im-3 (204)
- VASP energy (eV per atom) = -8.546
- total magnetization (μB per formula unit) = 7.4
- formation energy from raw total energies (eV per atom) = 0.3160

a = 6.6248 Å, b = 6.6248 Å, c = 6.6248 Å
α = 109.47°, β = 109.47°, γ = 109.47°
Each line ends with the local moment (μB).
Fractional positions:
N (0.3082, 0.8173, 0.1255)  0.02
N (0.6918, 0.1827, 0.8745)  0.02
N (0.8745, 0.6918, 0.1827)  0.02
N (0.5091, 0.6918, 0.8173)  0.02
N (0.4909, 0.3082, 0.1827)  0.02
N (0.6918, 0.8173, 0.5091)  0.02
N (0.1827, 0.8745, 0.6918)  0.02
N (0.3082, 0.1827, 0.4909)  0.02
N (0.8173, 0.1255, 0.3082)  0.02
N (0.1255, 0.3082, 0.8173)  0.02
N (0.1827, 0.4909, 0.3082)  0.02
N (0.8173, 0.5091, 0.6918)  0.02
Tc (0.5000, 0.5000, 0.5000)  0.16
Tc (0.0000, 0.0000, 0.5000)  0.16
Tc (0.5000, 0.5000, 0.0000)  1.97
Tc (0.0000, 0.5000, 0.5000)  1.97
Tc (0.5000, 0.0000, 0.0000)  0.16
Tc (0.0000, 0.5000, 0.0000)  0.16
Tc (0.5000, 0.0000, 0.5000)  1.97
Pr (0.0000, 0.0000, 0.0000)  0.02

***

# 3
K2RbBa after structural relaxation, computed with PBE.

Results
- space group = P4/mmm (123)
- VASP energy (eV per atom) = -1.206
- energy relative to the elements (eV per atom) = 0.065
- total magnetization (μB per formula unit) = 0.0

a = 4.4698 Å, b = 4.4698 Å, c = 14.6519 Å
α = 90.00°, β = 90.00°, γ = 90.00°
Fractional positions:
K (0.0000, 0.0000, 0.2605)
K (0.0000, 0.0000, 0.7395)
Rb (0.5000, 0.5000, 0.0000)
Ba (0.5000, 0.5000, 0.5000)